(1)
YTa2Ni, optimized geometry, DFT PBE-GGA; polymorph energy (0 for the lowest one) = 22.0 kJ/mol of atoms; formation energy from the elements = 272 meV per atom; total moment = 0.00 μB/f.u.
1.0
-2.736 1.472 -3.533
-3.796 -0.536 2.728
3.585 2.673 1.464
Y Ta Ni
1 2 1
Cartesian
-3.266 0.468 -0.403 Y
0.000 0.000 0.000 Ta
-1.738 1.302 1.895 Ta
-1.209 2.306 -1.236 Ni



(2)
Ta2ZnNi, optimized geometry, DFT PBE-GGA; formation energy from the elements = -17 meV per atom; total moment = 0.00 μB/f.u.
1.0
5.325 0.003 -0.002
2.487 4.708 0.002
-3.283 -3.389 2.468
Ni Ta Zn
1 2 1
Cartesian
1.585 1.855 1.235 Ni
2.995 -0.503 1.233 Ta
0.139 0.084 0.000 Ta
3.717 2.241 0.000 Zn



(3)
TaZnNi3, optimized geometry, DFT PBE-GGA; polymorph energy (0 for the lowest one) = 123.9 kJ/mol of atoms; formation energy from the elements = 1245 meV per atom; total moment = 0.00 μB/f.u.
1.0
4.542 0.000 0.000
0.000 4.542 0.000
0.000 0.000 4.542
Ni Ta Zn
3 1 1
Cartesian
0.000 0.000 2.271 Ni
2.271 0.000 0.000 Ni
0.000 2.271 0.000 Ni
0.000 0.000 0.000 Ta
2.271 2.271 2.271 Zn



(4)
Ta2ZnNi, optimized geometry, DFT PBE-GGA; formation energy from the elements = -26 meV per atom; total moment = 0.00 μB/f.u.
1.0
4.814 -0.012 -0.019
1.563 4.553 0.019
-3.040 -2.478 2.791
Ta Zn Ni
2 1 1
Cartesian
3.146 2.240 0.000 Ta
0.042 0.030 0.000 Ta
2.481 -0.110 1.386 Zn
0.856 2.173 1.405 Ni



Repeat the third record exactly.
TaZnNi3, optimized geometry, DFT PBE-GGA; polymorph energy (0 for the lowest one) = 123.9 kJ/mol of atoms; formation energy from the elements = 1245 meV per atom; total moment = 0.00 μB/f.u.
1.0
4.542 0.000 0.000
0.000 4.542 0.000
0.000 0.000 4.542
Ni Ta Zn
3 1 1
Cartesian
0.000 0.000 2.271 Ni
2.271 0.000 0.000 Ni
0.000 2.271 0.000 Ni
0.000 0.000 0.000 Ta
2.271 2.271 2.271 Zn



> Which value of total moment does entry 3 give?

0.00 μB/f.u.



Please write out number 4 again, unchanged.
Ta2ZnNi, optimized geometry, DFT PBE-GGA; formation energy from the elements = -26 meV per atom; total moment = 0.00 μB/f.u.
1.0
4.814 -0.012 -0.019
1.563 4.553 0.019
-3.040 -2.478 2.791
Ta Zn Ni
2 1 1
Cartesian
3.146 2.240 0.000 Ta
0.042 0.030 0.000 Ta
2.481 -0.110 1.386 Zn
0.856 2.173 1.405 Ni